Tm3AlRu | PBE | relaxed Values from VASP.

Cell and atoms, written as Quantum ESPRESSO input:
```
&SYSTEM
  ibrav = 0, nat = 10, ntyp = 3
/
ATOMIC_SPECIES
Tm 168.93 Tm.upf
Al 26.98 Al.upf
Ru 101.07 Ru.upf
ATOMIC_POSITIONS crystal
Tm 0.3024 0.8024 0.1048
Tm 0.6976 0.1976 0.8952
Tm 0.0802 0.2052 0.2854
Tm 0.9198 0.7948 0.7146
Tm 0.7052 0.5803 0.2854
Tm 0.2948 0.4197 0.7146
Al 0.6969 0.1969 0.5000
Al 0.3031 0.8031 0.5000
Ru 0.2500 0.2500 0.0000
Ru 0.7500 0.7500 0.0000
CELL_PARAMETERS angstrom
5.5079 0.1737 -1.1643
-2.4542 4.9339 -1.1643
-0.0514 -0.0868 8.5102
```

Total magnetization: 0.00 μB per atom
Space group: Fmmm, No. 69
Total energy: -5.70 eV/atom
E_form: -0.4103 eV per atom